A plane-wave DFT calculation with PBE was carried out for a relaxed structure of SrLaTe2.

Cell: 5.624 5.624 5.624 Å, 60.00 60.00 60.00°
Sites, in units of the cell vectors:
La 0.500 0.500 0.500
Te 0.000 0.000 0.000
Te 0.250 0.250 0.250
Sr 0.750 0.750 0.750

Calculated values
E_tot	-3.87	eV/atom
V	126	Å³ per cell
E_form (uncorrected)	-0.645	eV per atom
energy above the lowest structure with this stoichiometry	1.014	eV per atom